*w*
Tl5Tc | PBE | optimized geometry

## Properties
- theoretical density (Mg/m³) = 11.682
- N(E_F) (states/eV/f.u.) = 3.8

a = 3.272 Å, b = 3.272 Å, c = 14.872 Å
α = 90.00°, β = 90.00°, γ = 90.00°
Positions (direct):
Tl 0.000 0.000 0.000
Tl 0.000 0.000 0.375
Tl 0.000 0.000 0.625
Tl 0.500 0.500 0.191
Tl 0.500 0.500 0.809
Tc 0.500 0.500 0.500

=====

*x*
Tl5Tc | PBE | optimized geometry

## Properties
- theoretical density (Mg/m³) = 11.567
- N(E_F) (states/eV/f.u.) = 4.9

a = 5.095 Å, b = 9.688 Å, c = 9.688 Å
α = 19.65°, β = 90.00°, γ = 90.00°
Positions (direct):
Tl 0.000 0.000 0.000
Tl 0.000 0.286 0.286
Tl 0.500 0.187 0.187
Tl 0.500 0.546 0.546
Tl 0.500 0.877 0.877
Tc 0.000 0.646 0.646

=====

*y*
Tl5Tc | PBE | optimized geometry

## Properties
- theoretical density (Mg/m³) = 11.178
- N(E_F) (states/eV/f.u.) = 3.3

a = 6.468 Å, b = 6.468 Å, c = 4.592 Å
α = 90.00°, β = 90.00°, γ = 120.00°
Positions (direct):
Tl 0.000 0.710 0.000
Tl 0.290 0.290 0.000
Tl 0.333 0.667 0.500
Tl 0.667 0.333 0.500
Tl 0.710 0.000 0.000
Tc 0.000 0.000 0.500

=====

*z*
Tl5Tc | PBE | optimized geometry

## Properties
- theoretical density (Mg/m³) = 10.674
- N(E_F) (states/eV/f.u.) = 4.8

a = 6.269 Å, b = 6.269 Å, c = 6.269 Å
α = 60.00°, β = 60.00°, γ = 60.00°
Positions (direct):
Tl 0.000 0.000 0.000
Tl 0.127 0.624 0.624
Tl 0.624 0.127 0.624
Tl 0.624 0.624 0.127
Tl 0.624 0.624 0.624
Tc 0.250 0.250 0.250

=====

What should be chosen as the most stable of them? Choose *w*.

=====

*w*
Tl5Tc | PBE | optimized geometry

## Properties
- theoretical density (Mg/m³) = 10.978
- N(E_F) (states/eV/f.u.) = 2.7

a = 7.500 Å, b = 7.500 Å, c = 10.241 Å
α = 132.21°, β = 132.21°, γ = 23.86°
Positions (direct):
Tl 0.000 0.000 0.000
Tl 0.292 0.292 0.185
Tl 0.393 0.393 0.611
Tl 0.607 0.607 0.389
Tl 0.708 0.708 0.815
Tc 0.000 0.000 0.500

=====

*x*
Tl5Tc | PBE | optimized geometry

## Properties
- theoretical density (Mg/m³) = 10.122
- N(E_F) (states/eV/f.u.) = 1.4

a = 12.608 Å, b = 12.608 Å, c = 4.765 Å
α = 90.00°, β = 90.00°, γ = 165.96°
Positions (direct):
Tl 0.000 0.000 0.000
Tl 0.101 0.899 0.500
Tl 0.314 0.686 0.000
Tl 0.686 0.314 0.000
Tl 0.899 0.101 0.500
Tc 0.500 0.500 0.500

=====

*y*
Tl5Tc | PBE | optimized geometry

## Properties
- theoretical density (Mg/m³) = 9.817
- N(E_F) (states/eV/f.u.) = 5.4

a = 6.069 Å, b = 6.069 Å, c = 5.939 Å
α = 90.00°, β = 90.00°, γ = 120.00°
Positions (direct):
Tl 0.000 0.500 0.000
Tl 0.333 0.667 0.500
Tl 0.500 0.000 0.000
Tl 0.500 0.500 0.000
Tl 0.667 0.333 0.500
Tc 0.000 0.000 0.500

=====

What should be chosen as the most stable of them? Choose *x*.

=====

*w*
TlTc4 | PBE | optimized geometry

## Properties
- theoretical density (Mg/m³) = 10.937
- N(E_F) (states/eV/f.u.) = 4.3

a = 6.177 Å, b = 6.177 Å, c = 6.177 Å
α = 141.53°, β = 141.53°, γ = 55.54°
Positions (direct):
Tl 0.000 0.000 0.000
Tc 0.250 0.750 0.500
Tc 0.386 0.386 0.000
Tc 0.614 0.614 0.000
Tc 0.750 0.250 0.500

=====

*x*
TlTc4 | PBE | optimized geometry

## Properties
- theoretical density (Mg/m³) = 8.467
- N(E_F) (states/eV/f.u.) = 6.1

a = 4.890 Å, b = 4.890 Å, c = 4.890 Å
α = 90.00°, β = 90.00°, γ = 90.00°
Positions (direct):
Tl 0.000 0.000 0.000
Tc 0.000 0.000 0.500
Tc 0.000 0.500 0.000
Tc 0.500 0.000 0.000
Tc 0.500 0.500 0.500

=====

What should be chosen as the most stable of them? Choose *w*.

=====

*w*
TlVTc2 | PBE | optimized geometry

## Properties
- theoretical density (Mg/m³) = 11.715
- N(E_F) (states/eV/f.u.) = 3.9

a = 4.489 Å, b = 4.489 Å, c = 4.489 Å
α = 60.00°, β = 60.00°, γ = 60.00°
Positions (direct):
Tl 0.000 0.000 0.000
V 0.500 0.500 0.500
Tc 0.250 0.250 0.250
Tc 0.750 0.750 0.750

=====

*x*
TlVTc2 | PBE | optimized geometry

## Properties
- theoretical density (Mg/m³) = 10.261
- N(E_F) (states/eV/f.u.) = 3.7

a = 9.620 Å, b = 9.620 Å, c = 9.620 Å
α = 156.09°, β = 156.09°, γ = 34.07°
Positions (direct):
Tl 0.000 0.000 0.000
Tl 0.750 0.250 0.500
V 0.250 0.750 0.500
V 0.500 0.500 0.000
Tc 0.201 0.625 0.076
Tc 0.375 0.451 0.576
Tc 0.549 0.125 0.924
Tc 0.875 0.799 0.424

=====

What should be chosen as the most stable of them? Choose *w*.

=====

*w*
YTl2Tc2 | PBE | optimized geometry

## Properties
- theoretical density (Mg/m³) = 11.122
- N(E_F) (states/eV/f.u.) = 4.0

a = 7.887 Å, b = 7.887 Å, c = 3.330 Å
α = 90.00°, β = 90.00°, γ = 90.00°
Positions (direct):
Y 0.000 0.000 0.000
Y 0.500 0.500 0.000
Tl 0.142 0.358 0.000
Tl 0.358 0.858 0.000
Tl 0.642 0.142 0.000
Tl 0.858 0.642 0.000
Tc 0.153 0.653 0.500
Tc 0.347 0.153 0.500
Tc 0.653 0.847 0.500
Tc 0.847 0.347 0.500

=====

*x*
YTl2Tc2 | PBE | optimized geometry

## Properties
- theoretical density (Mg/m³) = 10.159
- N(E_F) (states/eV/f.u.) = 4.1

a = 9.121 Å, b = 9.121 Å, c = 9.121 Å
α = 157.25°, β = 157.25°, γ = 32.39°
Positions (direct):
Y 0.000 0.000 0.000
Tl 0.383 0.383 0.000
Tl 0.617 0.617 0.000
Tc 0.250 0.750 0.500
Tc 0.750 0.250 0.500

=====

What should be chosen as the most stable of them? Choose *x*.

=====

*w*
YTlTc2 | PBE | optimized geometry

## Properties
- theoretical density (Mg/m³) = 9.872
- N(E_F) (states/eV/f.u.) = 2.2

a = 5.161 Å, b = 5.161 Å, c = 5.161 Å
α = 132.84°, β = 122.80°, γ = 77.19°
Positions (direct):
Y 0.000 0.000 0.000
Tl 0.284 0.784 0.500
Tc 0.556 0.556 0.000
Tc 0.715 0.215 0.500

=====

*x*
YTlTc2 | PBE | optimized geometry

## Properties
- theoretical density (Mg/m³) = 10.556
- N(E_F) (states/eV/f.u.) = 5.3

a = 5.609 Å, b = 5.609 Å, c = 2.993 Å
α = 103.17°, β = 103.17°, γ = 115.34°
Positions (direct):
Y 0.000 0.000 0.000
Tl 0.500 0.500 0.000
Tc 0.000 0.500 0.500
Tc 0.500 0.000 0.500

=====

What should be chosen as the most stable of them? Choose *w*.

=====

*w*
YTlTc2 | PBE | optimized geometry

## Properties
- theoretical density (Mg/m³) = 10.427
- N(E_F) (states/eV/f.u.) = 5.0

a = 4.794 Å, b = 4.794 Å, c = 4.794 Å
α = 60.00°, β = 60.00°, γ = 60.00°
Positions (direct):
Y 0.000 0.000 0.000
Tl 0.500 0.500 0.500
Tc 0.250 0.250 0.250
Tc 0.750 0.750 0.750

=====

*x*
YTlTc2 | PBE | optimized geometry

## Properties
- theoretical density (Mg/m³) = 10.641
- N(E_F) (states/eV/f.u.) = 5.4

a = 4.223 Å, b = 4.241 Å, c = 4.263 Å
α = 90.00°, β = 90.10°, γ = 90.00°
Positions (direct):
Y 0.000 0.000 0.000
Tl 0.000 0.500 0.500
Tc 0.500 0.000 0.500
Tc 0.500 0.500 0.000

=====

*y*
YTlTc2 | PBE | optimized geometry

## Properties
- theoretical density (Mg/m³) = 9.882
- N(E_F) (states/eV/f.u.) = 2.7

a = 9.415 Å, b = 9.415 Å, c = 9.415 Å
α = 19.61°, β = 19.61°, γ = 19.61°
Positions (direct):
Y 0.000 0.000 0.000
Tl 0.767 0.767 0.767
Tc 0.250 0.250 0.250
Tc 0.521 0.521 0.521

=====

What should be chosen as the most stable of them? Choose *y*.

=====

*w*
YTlTc2 | PBE | optimized geometry

## Properties
- theoretical density (Mg/m³) = 9.923
- N(E_F) (states/eV/f.u.) = 3.4

a = 3.362 Å, b = 4.321 Å, c = 5.856 Å
α = 90.00°, β = 105.76°, γ = 90.00°
Positions (direct):
Y 0.000 0.000 0.000
Tl 0.353 0.500 0.688
Tc 0.605 0.500 0.247
Tc 0.762 0.000 0.447

=====

*x*
YTlTc2 | PBE | optimized geometry

## Properties
- theoretical density (Mg/m³) = 9.537
- N(E_F) (states/eV/f.u.) = 3.6

a = 3.210 Å, b = 4.809 Å, c = 5.526 Å
α = 90.00°, β = 92.78°, γ = 90.00°
Positions (direct):
Y 0.000 0.000 0.000
Tl 0.500 0.000 0.500
Tc 0.470 0.500 0.796
Tc 0.530 0.500 0.204

=====

*y*
YTlTc2 | PBE | optimized geometry

## Properties
- theoretical density (Mg/m³) = 9.515
- N(E_F) (states/eV/f.u.) = 4.6

a = 6.166 Å, b = 6.166 Å, c = 6.166 Å
α = 102.44°, β = 102.44°, γ = 124.68°
Positions (direct):
Y 0.000 0.000 0.000
Y 0.750 0.250 0.500
Tl 0.250 0.750 0.500
Tl 0.500 0.500 0.000
Tc 0.142 0.625 0.017
Tc 0.375 0.392 0.517
Tc 0.608 0.125 0.983
Tc 0.875 0.858 0.483

=====

What should be chosen as the most stable of them? Choose *w*.

=====

*w*
YTlTc2 | PBE | optimized geometry

## Properties
- theoretical density (Mg/m³) = 10.128
- N(E_F) (states/eV/f.u.) = 2.1

a = 3.129 Å, b = 3.129 Å, c = 8.195 Å
α = 90.00°, β = 90.00°, γ = 90.00°
Positions (direct):
Y 0.000 0.000 0.000
Tl 0.500 0.500 0.683
Tc 0.000 0.000 0.419
Tc 0.500 0.500 0.257

=====

*x*
YTlTc2 | PBE | optimized geometry

## Properties
- theoretical density (Mg/m³) = 10.215
- N(E_F) (states/eV/f.u.) = 5.3

a = 9.124 Å, b = 9.124 Å, c = 9.124 Å
α = 20.24°, β = 20.24°, γ = 20.24°
Positions (direct):
Y 0.000 0.000 0.000
Tl 0.500 0.500 0.500
Tc 0.248 0.248 0.248
Tc 0.752 0.752 0.752

=====

*y*
YTlTc2 | PBE | optimized geometry

## Properties
- theoretical density (Mg/m³) = 9.323
- N(E_F) (states/eV/f.u.) = 2.5

a = 5.322 Å, b = 5.322 Å, c = 4.827 Å
α = 111.87°, β = 111.87°, γ = 44.12°
Positions (direct):
Y 0.000 0.000 0.000
Tl 0.500 0.500 0.500
Tc 0.241 0.241 0.634
Tc 0.759 0.759 0.366

=====

What should be chosen as the most stable of them? Choose *w*.

=====

*w*
YTl2Tc | PBE | optimized geometry

## Properties
- theoretical density (Mg/m³) = 11.055
- N(E_F) (states/eV/f.u.) = 2.9

a = 5.579 Å, b = 5.579 Å, c = 5.579 Å
α = 133.61°, β = 133.61°, γ = 67.69°
Positions (direct):
Y 0.000 0.000 0.000
Tl 0.500 0.500 0.000
Tl 0.750 0.250 0.500
Tc 0.250 0.750 0.500

=====

*x*
YTl2Tc | PBE | optimized geometry

## Properties
- theoretical density (Mg/m³) = 9.888
- N(E_F) (states/eV/f.u.) = 2.5

a = 9.972 Å, b = 9.972 Å, c = 9.972 Å
α = 19.85°, β = 19.85°, γ = 19.85°
Positions (direct):
Y 0.000 0.000 0.000
Tl 0.527 0.527 0.527
Tl 0.765 0.765 0.765
Tc 0.266 0.266 0.266

=====

*y*
YTl2Tc | PBE | optimized geometry

## Properties
- theoretical density (Mg/m³) = 11.045
- N(E_F) (states/eV/f.u.) = 3.0

a = 3.582 Å, b = 3.582 Å, c = 6.979 Å
α = 90.00°, β = 90.00°, γ = 90.00°
Positions (direct):
Y 0.000 0.000 0.000
Tl 0.500 0.500 0.284
Tl 0.500 0.500 0.716
Tc 0.000 0.000 0.500

=====

What should be chosen as the most stable of them? Choose *y*.